A relaxed structure of Sn2Sb2Pd. Source: Alexandria, functional PBE-GGA.

Calculated values
ΔE_f (raw) (eV per atom): -0.02
Size of the total moment (μB/f.u.): 0.00
Space-group type: P4/mbm, No. 127

Cell: 6.765 6.765 6.146 Å, 90.00 90.00 90.00°
Element x y z (fractional)
Sn 0.294 0.794 0.500
Sn 0.706 0.206 0.500
Sn 0.794 0.706 0.500
Sn 0.206 0.294 0.500
Pd 0.500 0.500 0.000
Pd 0.000 0.000 0.000
Sb 0.147 0.353 0.000
Sb 0.853 0.647 0.000
Sb 0.647 0.147 0.000
Sb 0.353 0.853 0.000